# 1
First-principles (PBE-GGA) data for K4AgF7 after structural relaxation, as listed in Alexandria via LeMat-Bulk.

Cell: 7.2442 7.2442 10.1154 Å, 126.73 126.73 34.23°
Last column: nearest neighbours and their distance in Å.
Sites, in units of the cell vectors:
K1 0.0961 0.0961 0.2694  5 F 2.66-2.81
K2 0.2342 0.2342 0.8551  6 F 2.56-2.85
K3 0.7658 0.7658 0.1449  6 F 2.56-2.85
K4 0.9039 0.9039 0.7306  5 F 2.66-2.81
Ag1 0.5000 0.5000 0.5000  4 F 2.01-2.13
F1 0.0000 0.0000 0.5000  2 Ag 2.13
F2 0.1349 0.1349 0.0275  5 K 2.56-2.82
F3 0.2579 0.2579 0.6213  4 K 2.58-2.78
F4 0.4388 0.4388 0.2601  1 Ag 2.01
F5 0.5612 0.5612 0.7399  1 Ag 2.01
F6 0.7421 0.7421 0.3787  4 K 2.58-2.78
F7 0.8651 0.8651 0.9725  5 K 2.56-2.82

- formation energy from raw total energies (eV/atom) = -2.11
- volume (Å³/atom) = 19.4
- VASP energy (eV per atom) = -3.808

# 2
First-principles (PBE-GGA) data for SrAcAs after structural relaxation, as listed in Alexandria via LeMat-Bulk.

Cell: 5.2947 5.2947 5.2947 Å, 60.00 60.00 60.00°
Last column: nearest neighbours and their distance in Å.
Sites, in units of the cell vectors:
Sr1 0.0000 0.0000 0.0000  4 As 3.24
Ac1 0.5000 0.5000 0.5000  4 As 3.24
As1 0.2500 0.2500 0.2500  4 Ac 3.24, 4 Sr 3.24

- ΔH_f (0 K) (eV/atom) = -0.705
- volume (Å³/atom) = 35.0
- VASP energy (eV per atom) = -4.185
- excess energy over the best structure of this formula in the dataset (meV per atom) = 144

# 3
First-principles (PBE-GGA) data for TiHg3Bi after structural relaxation, as listed in Alexandria via LeMat-Bulk.

Cell: 5.3017 5.3017 5.3017 Å, 90.00 90.00 90.00°
Last column: nearest neighbours and their distance in Å.
Sites, in units of the cell vectors:
Ti1 0.0000 0.0000 0.0000  6 Hg 2.65
Hg1 0.0000 0.0000 0.5000  2 Ti 2.65
Hg2 0.0000 0.5000 0.0000  2 Ti 2.65
Hg3 0.5000 0.0000 0.0000  2 Ti 2.65
Bi1 0.5000 0.5000 0.5000  12 Hg 3.75

- ΔH_f (0 K) (eV/atom) = 0.524
- volume (Å³/atom) = 29.8
- VASP energy (eV per atom) = -2.012

# 4
First-principles (PBE-GGA) data for EuGdYTl after structural relaxation, as listed in Alexandria via LeMat-Bulk.

Cell: 5.5459 5.5459 5.5459 Å, 60.00 60.00 60.00°
Last column: nearest neighbours and their distance in Å.
Sites, in units of the cell vectors:
Eu1 0.0000 0.0000 0.0000  4 Gd 3.40, 4 Y 3.40
Gd1 0.2500 0.2500 0.2500  4 Tl 3.40, 4 Eu 3.40
Y1 0.7500 0.7500 0.7500  4 Tl 3.40, 4 Eu 3.40
Tl1 0.5000 0.5000 0.5000  4 Gd 3.40, 4 Y 3.40

- ΔH_f (0 K) (eV/atom) = -0.062
- volume (Å³/atom) = 30.2
- VASP energy (eV per atom) = -8.358

# 5
First-principles (PBE-GGA) data for AcPr12Dy6 after structural relaxation, as listed in Alexandria via LeMat-Bulk.

Cell: 8.9728 8.9728 8.9728 Å, 99.44 99.44 99.44°
Last column: nearest neighbours and their distance in Å.
Sites, in units of the cell vectors:
Ac1 0.0000 0.0000 0.0000  6 Dy 3.55, 6 Pr 3.97
Pr1 0.0806 0.3529 0.3529  6 Pr 3.44-3.73, 2 Dy 3.83
Pr2 0.2407 0.5000 0.7593  6 Pr 3.44-3.63, 4 Dy 3.51-3.66
Pr3 0.2407 0.7593 0.5000  6 Pr 3.44-3.63, 4 Dy 3.51-3.66
Pr4 0.3529 0.0806 0.3529  6 Pr 3.44-3.73, 2 Dy 3.83
Pr5 0.3529 0.3529 0.0806  6 Pr 3.44-3.73, 2 Dy 3.83
Pr6 0.5000 0.2407 0.7593  6 Pr 3.44-3.63, 4 Dy 3.51-3.66
Pr7 0.5000 0.7593 0.2407  6 Pr 3.44-3.63, 4 Dy 3.51-3.66
Pr8 0.6471 0.6471 0.9194  6 Pr 3.44-3.73, 2 Dy 3.83
Pr9 0.6471 0.9194 0.6471  6 Pr 3.44-3.73, 2 Dy 3.83
Pr10 0.7593 0.2407 0.5000  6 Pr 3.44-3.63, 4 Dy 3.51-3.66
Pr11 0.7593 0.5000 0.2407  6 Pr 3.44-3.63, 4 Dy 3.51-3.66
Pr12 0.9194 0.6471 0.6471  6 Pr 3.44-3.73, 2 Dy 3.83
Dy1 0.1012 0.1012 0.6584  1 Dy 3.19, 2 Pr 3.51, 1 Ac 3.55
Dy2 0.1012 0.6584 0.1012  1 Dy 3.19, 2 Pr 3.51, 1 Ac 3.55
Dy3 0.3416 0.8988 0.8988  1 Dy 3.19, 2 Pr 3.51, 1 Ac 3.55
Dy4 0.6584 0.1012 0.1012  1 Dy 3.19, 2 Pr 3.51, 1 Ac 3.55
Dy5 0.8988 0.3416 0.8988  1 Dy 3.19, 2 Pr 3.51, 1 Ac 3.55
Dy6 0.8988 0.8988 0.3416  1 Dy 3.19, 2 Pr 3.51, 1 Ac 3.55

- ΔH_f (0 K) (eV/atom) = 0.184
- volume (Å³/atom) = 36.3
- VASP energy (eV per atom) = -4.504

# 6
First-principles (PBE-GGA) data for LiHfTi2C after structural relaxation, as listed in Alexandria via LeMat-Bulk.

Cell: 4.2568 4.2568 4.1535 Å, 90.00 90.00 90.00°
Last column: nearest neighbours and their distance in Å.
Sites, in units of the cell vectors:
Li1 0.0000 0.0000 0.0000  2 C 2.08
Hf1 0.5000 0.5000 0.0000  8 Ti 2.97, 4 Li 3.01
Ti1 0.0000 0.5000 0.5000  2 C 2.13
Ti2 0.5000 0.0000 0.5000  2 C 2.13
C1 0.0000 0.0000 0.5000  2 Li 2.08, 4 Ti 2.13

- ΔH_f (0 K) (eV/atom) = 0.076
- volume (Å³/atom) = 15.1
- VASP energy (eV per atom) = -7.300